First-principles (PBE) data for crystalline Ag2TeMo at its relaxed geometry, as listed in the Alexandria database.

```
data_Ag2TeMo
_symmetry_space_group_name_H-M 'P 1'
_symmetry_Int_Tables_number 1
_cell_length_a 2.841
_cell_length_b 4.846
_cell_length_c 5.965
_cell_angle_alpha 90.00
_cell_angle_beta 102.70
_cell_angle_gamma 90.00
loop_
_symmetry_equiv_pos_as_xyz
'x,y,z'
loop_
_atom_site_label
_atom_site_fract_x
_atom_site_fract_y
_atom_site_fract_z
_atom_site_occupancy
Ag1 0.000 0.000 0.000 1
Ag2 0.084 0.500 0.233 1
Te1 0.276 0.000 0.542 1
Mo1 0.388 0.500 0.776 1
```

E: -4.410 eV per atom
Formation energy from raw total energies: 508.9 meV/atom
Space-group type: No. 6
Volume: 80 Å³ per cell
Mass density: 9105 kg/m3
Magnetic moment: 0.00 Bohr magnetons per cell